Model one:
16
Lattice="10.519 0.000 0.000 0.000 7.738 0.000 0.000 0.000 5.752" Properties=species:S:1:pos:R:3 comment="PBE KNa3Hg4, optimized geometry" spacegroup="Pmma (51)" magnetic_moment_mub_per_cell=0.000 dos_at_fermi_per_ev_atom=0.34 pbc="T T T"
K 0.000 0.000 0.000
K 5.260 0.000 0.000
Na 0.000 3.869 0.000
Na 2.630 0.000 2.642
Na 2.630 3.869 2.067
Na 5.260 3.869 0.000
Na 7.890 0.000 3.110
Na 7.890 3.869 3.686
Hg 0.000 2.198 2.876
Hg 0.000 5.540 2.876
Hg 2.630 2.279 4.872
Hg 2.630 5.458 4.872
Hg 5.260 2.198 2.876
Hg 5.260 5.540 2.876
Hg 7.890 2.279 0.880
Hg 7.890 5.458 0.880

=====

Model two:
8
Lattice="9.810 -1.706 0.000 9.810 1.706 0.000 -3.093 0.000 7.245" Properties=species:S:1:pos:R:3 comment="PBE KNa3Hg4, optimized geometry" spacegroup="C2/m (12)" magnetic_moment_mub_per_cell=0.000 dos_at_fermi_per_ev_atom=0.35 pbc="T T T"
K 0.000 0.000 0.000
Na 3.271 0.000 5.737
Na 8.263 0.000 3.622
Na 13.255 0.000 1.508
Hg 1.272 0.000 3.215
Hg 0.093 0.000 5.992
Hg 16.433 0.000 1.253
Hg 15.255 0.000 4.030

=====

Preferred: model one; penalty for the next structure: 48 meV per atom.

=====

Model one:
6
Lattice="5.227 0.000 0.000 -2.614 4.527 0.000 0.000 0.000 7.548" Properties=species:S:1:pos:R:3 comment="PBE KNaHg4, optimized geometry" spacegroup="P6/mmm (191)" magnetic_moment_mub_per_cell=0.000 dos_at_fermi_per_ev_atom=0.44 pbc="T T T"
K 0.000 0.000 0.000
Na 0.000 0.000 3.774
Hg 0.000 3.018 2.167
Hg 0.000 3.018 5.382
Hg 2.614 1.509 2.167
Hg 2.614 1.509 5.382

=====

Model two:
6
Lattice="-2.618 3.641 4.653 2.618 -3.641 4.653 2.618 3.641 -4.653" Properties=species:S:1:pos:R:3 comment="PBE KNaHg4, optimized geometry" spacegroup="Imm2 (44)" magnetic_moment_mub_per_cell=0.000 dos_at_fermi_per_ev_atom=0.38 pbc="T T T"
K 0.000 0.000 0.000
Na 2.618 0.000 4.084
Hg 2.618 1.700 -1.735
Hg 2.618 2.071 1.319
Hg 0.000 1.940 2.918
Hg 0.000 1.569 5.972

=====

Preferred: model one; penalty for the next structure: 17 meV per atom.

=====

Model one:
7
Lattice="-3.390 3.390 8.745 3.390 -3.390 8.745 3.390 3.390 -8.745" Properties=species:S:1:pos:R:3 comment="PBE K4NaHg2, optimized geometry" spacegroup="I4/mmm (139)" magnetic_moment_mub_per_cell=0.000 dos_at_fermi_per_ev_atom=0.90 pbc="T T T"
K 3.390 0.000 0.000
K 0.000 0.000 3.785
K 0.000 3.390 0.000
K 0.000 0.000 13.704
Na 0.000 0.000 0.000
Hg 0.000 0.000 7.216
Hg 0.000 0.000 10.273

=====

Model two:
14
Lattice="3.149 -5.453 0.000 3.149 5.453 0.000 0.000 0.000 18.848" Properties=species:S:1:pos:R:3 comment="PBE K4NaHg2, optimized geometry" spacegroup="Cmcm (63)" magnetic_moment_mub_per_cell=0.000 dos_at_fermi_per_ev_atom=0.62 pbc="T T T"
K 0.000 0.000 0.000
K 0.000 0.000 9.424
K 3.149 1.821 11.741
K 3.149 1.821 16.531
K 3.149 1.814 4.712
K 3.149 -1.814 14.136
K 3.149 -1.821 2.317
K 3.149 -1.821 7.107
Na 3.149 5.450 4.712
Na 3.149 -5.450 14.136
Hg 3.149 1.815 1.198
Hg 3.149 1.815 8.225
Hg 3.149 -1.815 10.622
Hg 3.149 -1.815 17.649

=====

Preferred: model two; penalty for the next structure: 110 meV per atom.

=====

Model one:
12
Lattice="10.180 -2.509 0.000 10.180 2.509 0.000 -6.730 0.000 11.050" Properties=species:S:1:pos:R:3 comment="PBE K3NaHg2, optimized geometry" spacegroup="C2/m (12)" magnetic_moment_mub_per_cell=0.000 dos_at_fermi_per_ev_atom=0.53 pbc="T T T"
K -1.009 0.000 4.379
K -4.652 0.000 10.962
K 5.471 0.000 3.037
K 8.160 0.000 8.013
K 18.282 0.000 0.087
K 14.640 0.000 6.671
Na 1.236 0.000 8.033
Na 12.394 0.000 3.016
Hg -1.038 0.000 10.402
Hg 2.484 0.000 5.024
Hg 11.146 0.000 6.026
Hg 14.668 0.000 0.647

=====

Model two:
12
Lattice="4.659 2.690 7.504 -4.659 2.690 7.504 0.000 -5.379 7.504" Properties=species:S:1:pos:R:3 comment="PBE K3NaHg2, optimized geometry" spacegroup="R-3c (167)" magnetic_moment_mub_per_cell=0.000 dos_at_fermi_per_ev_atom=0.36 pbc="T T T"
K -3.350 -0.423 9.380
K -1.308 -3.113 13.132
K 2.042 -2.690 9.380
K -2.042 2.690 13.132
K 1.308 3.113 9.380
K 3.350 0.423 13.133
Na 0.000 0.000 0.000
Na 0.000 0.000 11.256
Hg 0.000 0.000 3.149
Hg 0.000 0.000 8.107
Hg 0.000 0.000 14.406
Hg 0.000 0.000 19.364

=====

Preferred: model one; penalty for the next structure: 40 meV per atom.

=====

Model one:
5
Lattice="5.854 -3.566 0.000 5.854 3.566 0.000 -2.165 0.000 4.568" Properties=species:S:1:pos:R:3 comment="PBE K2NaHg2, optimized geometry" spacegroup="C2/m (12)" magnetic_moment_mub_per_cell=0.000 dos_at_fermi_per_ev_atom=0.39 pbc="T T T"
K 1.961 0.000 0.939
K 7.582 0.000 3.629
Na 5.854 0.000 0.000
Hg 4.772 2.026 2.284
Hg 4.772 -2.026 2.284

=====

Model two:
5
Lattice="-2.786 2.786 6.978 2.786 -2.786 6.978 2.786 2.786 -6.978" Properties=species:S:1:pos:R:3 comment="PBE K2NaHg2, optimized geometry" spacegroup="I4/mmm (139)" magnetic_moment_mub_per_cell=0.000 dos_at_fermi_per_ev_atom=1.01 pbc="T T T"
K 2.786 0.000 3.489
K 0.000 2.786 3.489
Na 0.000 0.000 0.000
Hg 0.000 0.000 5.550
Hg 0.000 0.000 8.405

=====

Model three:
10
Lattice="10.260 0.000 0.000 0.000 10.260 0.000 0.000 0.000 3.735" Properties=species:S:1:pos:R:3 comment="PBE K2NaHg2, optimized geometry" spacegroup="P4/mbm (127)" magnetic_moment_mub_per_cell=0.000 dos_at_fermi_per_ev_atom=0.41 pbc="T T T"
K 1.855 3.275 0.000
K 3.275 8.405 0.000
K 6.985 1.855 0.000
K 8.405 6.985 0.000
Na 0.000 0.000 0.000
Na 5.130 5.130 0.000
Hg 1.115 6.245 1.867
Hg 4.016 1.115 1.867
Hg 6.245 9.146 1.867
Hg 9.146 4.016 1.867

=====

Preferred: model one; penalty for the next structure: 86 meV per atom.

=====

Model one:
8
Lattice="-2.721 2.721 12.684 2.721 -2.721 12.684 2.721 2.721 -12.684" Properties=species:S:1:pos:R:3 comment="PBE K2NaHg, optimized geometry" spacegroup="I-42d (122)" magnetic_moment_mub_per_cell=0.000 dos_at_fermi_per_ev_atom=0.39 pbc="T T T"
K 4.082 1.264 -3.171
K 1.264 1.361 3.171
K -1.361 1.457 9.513
K 1.457 1.361 15.856
Na 2.721 0.000 6.342
Na 0.000 0.000 12.684
Hg 0.000 0.000 0.000
Hg 0.000 2.721 6.342

=====

Model two:
4
Lattice="5.895 -3.737 0.000 5.895 3.737 0.000 -1.772 0.000 4.245" Properties=species:S:1:pos:R:3 comment="PBE K2NaHg, optimized geometry" spacegroup="C2 (5)" magnetic_moment_mub_per_cell=0.000 dos_at_fermi_per_ev_atom=0.47 pbc="T T T"
K 1.970 0.000 0.834
K 8.048 0.000 3.410
Na 5.895 0.240 0.000
Hg 5.009 -1.929 2.122

=====

Model three:
4
Lattice="2.128 1.228 13.607 -2.128 1.228 13.607 0.000 -2.457 13.607" Properties=species:S:1:pos:R:3 comment="PBE K2NaHg, optimized geometry" spacegroup="R-3m (166)" magnetic_moment_mub_per_cell=0.000 dos_at_fermi_per_ev_atom=0.80 pbc="T T T"
K 0.000 0.000 3.547
K 0.000 0.000 37.275
Na 0.000 0.000 20.411
Hg 0.000 0.000 0.000

=====

Preferred: model two; penalty for the next structure: 139 meV per atom.

=====

Model one:
4
Lattice="0.000 4.424 4.424 4.424 0.000 4.424 4.424 4.424 0.000" Properties=species:S:1:pos:R:3 comment="PBE K2NaHg, optimized geometry" spacegroup="Fm-3m (225)" magnetic_moment_mub_per_cell=0.000 dos_at_fermi_per_ev_atom=0.45 pbc="T T T"
K 2.212 2.212 2.212
K 6.635 6.635 6.635
Na 0.000 0.000 0.000
Hg 4.424 4.424 4.424

=====

Model two:
4
Lattice="2.174 1.255 11.618 -2.174 1.255 11.618 0.000 -2.511 11.618" Properties=species:S:1:pos:R:3 comment="PBE K2NaHg, optimized geometry" spacegroup="R3m (160)" magnetic_moment_mub_per_cell=0.000 dos_at_fermi_per_ev_atom=0.78 pbc="T T T"
K 0.000 0.000 0.000
K 0.000 0.000 6.619
Na 0.000 0.000 26.542
Hg 0.000 0.000 20.737

=====

Preferred: model one; penalty for the next structure: 61 meV per atom.

=====

Model one:
8
Lattice="6.748 -2.869 0.000 6.748 2.869 0.000 -5.970 0.000 9.001" Properties=species:S:1:pos:R:3 comment="PBE K2NaHg, optimized geometry" spacegroup="Cm (8)" magnetic_moment_mub_per_cell=0.000 dos_at_fermi_per_ev_atom=0.57 pbc="T T T"
K 0.000 0.000 0.000
K -2.964 0.000 4.478
K 1.238 0.000 5.955
K 6.338 0.000 3.038
Na -2.036 0.000 8.246
Na 9.569 0.000 0.710
Hg 2.580 0.000 2.396
Hg 4.985 0.000 6.570

=====

Model two:
4
Lattice="6.080 0.000 0.000 0.000 6.080 0.000 0.000 0.000 4.684" Properties=species:S:1:pos:R:3 comment="PBE K2NaHg, optimized geometry" spacegroup="P4/mmm (123)" magnetic_moment_mub_per_cell=0.000 dos_at_fermi_per_ev_atom=0.62 pbc="T T T"
K 0.000 3.040 0.000
K 3.040 0.000 0.000
Na 0.000 0.000 2.342
Hg 3.040 3.040 2.342

=====

Preferred: model one; penalty for the next structure: 37 meV per atom.

=====

Model one:
7
Lattice="7.404 -3.189 0.000 7.404 3.189 0.000 -3.537 0.000 7.605" Properties=species:S:1:pos:R:3 comment="PBE K4Na2Hg, optimized geometry" spacegroup="C2/m (12)" magnetic_moment_mub_per_cell=0.000 dos_at_fermi_per_ev_atom=0.59 pbc="T T T"
K -0.510 0.000 1.959
K 4.124 0.000 1.544
K 7.148 0.000 6.061
K 11.781 0.000 5.646
Na 2.032 0.000 5.049
Na 9.239 0.000 2.556
Hg 7.404 0.000 0.000

=====

Model two:
7
Lattice="-3.316 3.316 9.656 3.316 -3.316 9.656 3.316 3.316 -9.656" Properties=species:S:1:pos:R:3 comment="PBE K4Na2Hg, optimized geometry" spacegroup="I4/mmm (139)" magnetic_moment_mub_per_cell=0.000 dos_at_fermi_per_ev_atom=0.89 pbc="T T T"
K 3.316 0.000 0.000
K 0.000 0.000 3.559
K 0.000 3.316 0.000
K 0.000 0.000 15.753
Na 0.000 0.000 7.450
Na 0.000 0.000 11.862
Hg 0.000 0.000 0.000

=====

Preferred: model one; penalty for the next structure: 82 meV per atom.

=====

Model one:
11
Lattice="8.370 -2.787 0.000 8.370 2.787 0.000 -4.032 0.000 8.227" Properties=species:S:1:pos:R:3 comment="PBE KNa8Hg2, optimized geometry" spacegroup="C2/m (12)" magnetic_moment_mub_per_cell=0.000 dos_at_fermi_per_ev_atom=0.39 pbc="T T T"
K 0.000 0.000 0.000
Na -0.145 0.000 3.992
Na 0.000 0.000 7.381
Na 2.898 0.000 5.531
Na 6.159 0.000 2.314
Na 6.549 0.000 5.913
Na 9.810 0.000 2.696
Na 12.708 0.000 0.845
Na 12.853 0.000 4.235
Hg 3.003 0.000 2.282
Hg 9.705 0.000 5.945

=====

Model two:
11
Lattice="6.775 0.000 0.000 -3.388 5.868 0.000 0.000 0.000 10.201" Properties=species:S:1:pos:R:3 comment="PBE KNa8Hg2, optimized geometry" spacegroup="P-3m1 (164)" magnetic_moment_mub_per_cell=0.000 dos_at_fermi_per_ev_atom=0.51 pbc="T T T"
K 0.000 0.000 0.000
Na 0.000 1.982 3.657
Na -1.671 4.877 3.657
Na 0.000 3.912 8.158
Na 1.716 0.991 6.544
Na 1.671 4.877 3.657
Na 3.388 1.956 2.043
Na 5.059 0.991 6.544
Na 3.388 3.886 6.544
Hg 0.000 3.912 1.102
Hg 3.388 1.956 9.099

=====

Preferred: model one; penalty for the next structure: 71 meV per atom.